This record from Alexandria via LeMat-Bulk describes an optimized crystal structure of Y3Al4Au4. The functional is PBE.

Output
Space group ... Immm, No. 71
Volume ... 228.3 Å³ per cell
E ... -0.1842 hartree per atom
Crystal system ... orthorhombic
M_tot ... 0.000 μB/atom

Cell lengths 4.5703, 3.6779, 13.8935 Å; angles 97.61, 99.47, 90.00 degrees
Last column: nearest neighbours and their distance in Å.
Sites, in units of the cell vectors:
Y  0.3565  0.8565  0.7131  6 Au 3.12-3.22, 6 Al 3.17-3.20
Y  0.6435  0.1435  0.2869  6 Au 3.12-3.22, 6 Al 3.17-3.20
Y  0.0000  0.0000  0.0000  4 Au 3.17, 8 Al 3.22
Al  0.8097  0.3097  0.6194  5 Au 2.59-2.71
Al  0.4515  0.4515  0.9029  2 Au 2.61, 1 Al 2.64
Al  0.5485  0.5485  0.0971  2 Au 2.61, 1 Al 2.64
Al  0.1903  0.6903  0.3806  5 Au 2.59-2.71
Au  0.2638  0.2638  0.5276  4 Al 2.60-2.71
Au  0.0949  0.5949  0.1897  3 Al 2.59-2.61
Au  0.9051  0.4051  0.8103  3 Al 2.59-2.61
Au  0.7362  0.7362  0.4724  4 Al 2.60-2.71